Below is a relaxed structure of Eu2TmTl, with properties calculated at the PBE level.

formation energy from the elements = -0.21 eV per formula unit
crystal system = cubic

```
data_Eu2TmTl
_chemical_formula_sum 'Eu8 Tm4 Tl4'
_cell_length_a 8.021
_cell_length_b 8.021
_cell_length_c 8.021
_cell_angle_alpha 90.00
_cell_angle_beta 90.00
_cell_angle_gamma 90.00
_symmetry_space_group_name_H-M 'F m -3 m'
_symmetry_Int_Tables_number 225
_symmetry_space_group_name_Hall '-F 4 2 3'
loop_
_atom_site_label
_atom_site_fract_x
_atom_site_fract_y
_atom_site_fract_z
_atom_site_occupancy
Eu1 0.250 0.250 0.250 1
Tm1 0.000 0.000 0.000 1
Tl1 0.000 0.000 0.500 1
```